Here is a relaxed structure of LiCrAs2 from Alexandria. Energies are from PBE.

DFT formation energy	217	meV per atom
crystal system	orthorhombic
energy above the most stable polymorph in this dataset	1.934	eV/f.u.
space-group type	Cmm2 (35)
total magnetic moment	0.71	μB/f.u.

Cell lengths 2.6726, 2.6726, 9.9519 Å; angles 90.00, 90.00, 100.35 degrees
Last column: magnetic moment on the atom in μB.
Sites, in units of the cell vectors:
As1 0.0000 0.0000 0.9398  0.01
As2 0.5000 0.5000 0.3232  -0.03
Cr1 0.0000 0.0000 0.5062  0.69
Li1 0.5000 0.5000 0.7307  0.00